Computed, not measured: Sb3As at its PBEsol-relaxed geometry at the meta-GGA SCAN level of DFT.

Calculated values
The value obtained for the formation energy from raw total energies is 0.0482 eV/atom. As for the polymorph energy (0 for the lowest one): 16 meV/atom. The calculation puts the energy at -32.94 eV/atom. The space-group type is R-3m. For the magnetic moment, the calculation gives 0.000 μB per cell.

Cell: 4.2042 4.2042 7.2930 Å, 73.25 73.25 60.00°
Element x y z (fractional)
1 As 0.0000 0.0000 0.0000
2 Sb 0.2559 0.2559 0.2324
3 Sb 0.7441 0.7441 0.7676
4 Sb 0.5000 0.5000 0.5000